VASP calculation (PBE) on a geometry-optimized Na4Tb3InSe8 structure.

Its electronic total energy is -219.6 eV per cell. The calculation puts the uncorrected formation energy at -23.41 eV per formula unit.

The space group is R-3m (No. 166, hexagonal axes) and the conventional cell measures 8.2643, 8.2643 and 21.1188 Å, with angles of 90.00, 90.00 and 120.00 degrees. The inequivalent atoms are Na at (0.0000, 0.0000, 0.0000), Na at (0.0000, 0.5000, 0.0000), Tb at (0.0000, 0.5000, 0.5000), In at (0.0000, 0.0000, 0.5000), Se at (0.0000, 0.0000, 0.2433) and Se at (0.0063, 0.5031, 0.2430).